(one)
# TbSmTmAg

A relaxed structure of TbSmTmAg (PBE-GGA, the Alexandria database).

```
data_TbSmTmAg
_cell_length_a 3.578
_cell_length_b 3.578
_cell_length_c 8.839
_cell_angle_alpha 90.00
_cell_angle_beta 90.00
_cell_angle_gamma 90.00
_space_group_name_H-M_alt 'P 1'
_space_group_IT_number 1
loop_
_space_group_symop_operation_xyz
'x,y,z'
loop_
_atom_site_label
_atom_site_type_symbol
_atom_site_fract_x
_atom_site_fract_y
_atom_site_fract_z
Tm1 Tm 0.500 0.500 0.363
Sm1 Sm 0.000 0.000 0.075
Ag1 Ag 0.000 0.000 0.563
Tb1 Tb 0.500 0.500 0.783
```

The total magnetization comes out at 0.00 μB per formula unit. Its space-group type is P4mm (99).

---

(two)
# TbSmTmAg

A relaxed structure of TbSmTmAg (PBE-GGA, the Alexandria database).

```
data_TbSmTmAg
_cell_length_a 5.394
_cell_length_b 5.394
_cell_length_c 5.394
_cell_angle_alpha 60.00
_cell_angle_beta 60.00
_cell_angle_gamma 60.00
_space_group_name_H-M_alt 'P 1'
_space_group_IT_number 1
loop_
_space_group_symop_operation_xyz
'x,y,z'
loop_
_atom_site_label
_atom_site_type_symbol
_atom_site_fract_x
_atom_site_fract_y
_atom_site_fract_z
Ag1 Ag 0.250 0.250 0.250
Sm1 Sm 0.000 0.000 0.000
Tm1 Tm 0.750 0.750 0.750
Tb1 Tb 0.500 0.500 0.500
```

The total magnetization comes out at 0.00 μB per formula unit. Its space-group type is F-43m (216).

---

Which of them is the most stable, and which is the least stable? (one) and (two), in that order.

---

(one)
# Sm8TcAg2

A relaxed structure of Sm8TcAg2 (PBE-GGA, the Alexandria database).

```
data_Sm8TcAg2
_cell_length_a 5.311
_cell_length_b 7.049
_cell_length_c 9.201
_cell_angle_alpha 106.26
_cell_angle_beta 106.77
_cell_angle_gamma 90.00
_space_group_name_H-M_alt 'P 1'
_space_group_IT_number 1
loop_
_space_group_symop_operation_xyz
'x,y,z'
loop_
_atom_site_label
_atom_site_type_symbol
_atom_site_fract_x
_atom_site_fract_y
_atom_site_fract_z
Ag1 Ag 0.816 0.288 0.632
Sm1 Sm 0.801 0.696 0.603
Sm2 Sm 0.024 0.790 0.048
Ag2 Ag 0.184 0.712 0.368
Sm3 Sm 0.976 0.210 0.952
Sm4 Sm 0.409 0.562 0.819
Sm5 Sm 0.659 0.969 0.317
Sm6 Sm 0.341 0.031 0.683
Sm7 Sm 0.199 0.304 0.397
Sm8 Sm 0.591 0.438 0.181
Tc1 Tc 0.500 0.000 0.000
```

The total magnetization comes out at 0.00 μB per formula unit. Its space-group type is C2/m (12).

---

(two)
# Sm8TcAg2

A relaxed structure of Sm8TcAg2 (PBE-GGA, the Alexandria database).

```
data_Sm8TcAg2
_cell_length_a 6.322
_cell_length_b 8.872
_cell_length_c 8.872
_cell_angle_alpha 125.93
_cell_angle_beta 105.60
_cell_angle_gamma 105.60
_space_group_name_H-M_alt 'P 1'
_space_group_IT_number 1
loop_
_space_group_symop_operation_xyz
'x,y,z'
loop_
_atom_site_label
_atom_site_type_symbol
_atom_site_fract_x
_atom_site_fract_y
_atom_site_fract_z
Sm1 Sm 0.994 0.169 0.788
Ag1 Ag 0.454 0.708 0.288
Sm2 Sm 0.663 0.412 0.173
Tc1 Tc 0.270 0.023 0.023
Sm3 Sm 0.096 0.253 0.253
Sm4 Sm 0.761 0.704 0.704
Sm5 Sm 0.663 0.173 0.412
Sm6 Sm 0.324 0.646 0.870
Sm7 Sm 0.324 0.870 0.646
Ag2 Ag 0.454 0.288 0.708
Sm8 Sm 0.994 0.788 0.169
```

The total magnetization comes out at 0.00 μB per formula unit. Its space-group type is Cm (8).

---

Which of them is the most stable, and which is the least stable? (one) and (two), in that order.